GGA-PBE Ho2TlSb, optimized geometry; total DFT energy (no corrections) = -4.6088 eV/atom; uncorrected formation energy = -0.6978 eV/atom
1.0
4.4555 0.0000 0.0000
0.0000 23.9117 0.0000
0.0000 0.0000 4.3642
Ho Tl Sb
8 4 4
direct
0.0000 0.0630 0.2500
0.0000 0.3158 0.2500
0.0000 0.6842 0.7500
0.0000 0.9370 0.7500
0.5000 0.1842 0.7500
0.5000 0.4370 0.7500
0.5000 0.5630 0.2500
0.5000 0.8158 0.2500
0.0000 0.4537 0.2500
0.0000 0.5463 0.7500
0.5000 0.0463 0.7500
0.5000 0.9537 0.2500
0.0000 0.1881 0.2500
0.0000 0.8119 0.7500
0.5000 0.3119 0.7500
0.5000 0.6881 0.2500